(1)
Here is CaGe2Cl after structural relaxation from the Alexandria database. Energies are from PBE.

CIF file:
```
data_CaGe2Cl
_cell_length_a 9.866
_cell_length_b 9.866
_cell_length_c 7.415
_cell_angle_alpha 48.30
_cell_angle_beta 48.30
_cell_angle_gamma 90.00
_space_group_name_H-M_alt 'P 1'
_space_group_IT_number 1
loop_
_space_group_symop_operation_xyz
'x,y,z'
loop_
_atom_site_label
_atom_site_type_symbol
_atom_site_fract_x
_atom_site_fract_y
_atom_site_fract_z
_atom_site_occupancy
Ca1 Ca 0.750 0.250 0.500 1
Ge1 Ge 0.635 0.125 0.250 1
Cl1 Cl 0.250 0.750 0.500 1
Cl2 Cl 0.500 0.500 0.000 1
Ge2 Ge 0.115 0.625 0.250 1
Ge3 Ge 0.875 0.885 0.750 1
Ca2 Ca 0.000 0.000 0.000 1
Ge4 Ge 0.375 0.365 0.750 1
```

Output
- Magnetic moment: 0.00 μB per atom
- Uncorrected formation energy: -0.34 eV per atom
- Space group: I-42d (122)
- E_tot: -3.61 eV/atom

(2)
Here is SrMg2As after structural relaxation from the Alexandria database. Energies are from PBE.

CIF file:
```
data_SrMg2As
_cell_length_a 3.794
_cell_length_b 3.789
_cell_length_c 7.279
_cell_angle_alpha 90.00
_cell_angle_beta 90.00
_cell_angle_gamma 90.00
_space_group_name_H-M_alt 'P 1'
_space_group_IT_number 1
loop_
_space_group_symop_operation_xyz
'x,y,z'
loop_
_atom_site_label
_atom_site_type_symbol
_atom_site_fract_x
_atom_site_fract_y
_atom_site_fract_z
_atom_site_occupancy
Sr1 Sr 0.000 0.000 0.531 1
As1 As 0.500 0.500 0.807 1
Mg1 Mg 0.500 0.500 0.191 1
Mg2 Mg 0.000 0.000 0.970 1
```

Output
- Magnetic moment: 0.00 μB per atom
- Space group: P4mm (99)
- E_tot: -2.75 eV/atom
- ΔE_f: -372 meV per atom

(3)
Here is TaNi3S after structural relaxation from the Alexandria database. Energies are from PBE.

CIF file:
```
data_TaNi3S
_cell_length_a 4.117
_cell_length_b 4.117
_cell_length_c 4.117
_cell_angle_alpha 90.00
_cell_angle_beta 90.00
_cell_angle_gamma 90.00
_space_group_name_H-M_alt 'P 1'
_space_group_IT_number 1
loop_
_space_group_symop_operation_xyz
'x,y,z'
loop_
_atom_site_label
_atom_site_type_symbol
_atom_site_fract_x
_atom_site_fract_y
_atom_site_fract_z
_atom_site_occupancy
S1 S 0.000 0.000 0.000 1
Ta1 Ta 0.500 0.500 0.500 1
Ni1 Ni 0.000 0.000 0.500 1
Ni2 Ni 0.000 0.500 0.000 1
Ni3 Ni 0.500 0.000 0.000 1
```

Output
- Magnetic moment: 0.00 μB per atom
- Uncorrected formation energy: 0.29 eV per atom
- Space group: Pm-3m (221)
- E_tot: -6.37 eV/atom

(4)
Here is Pm3PuH after structural relaxation from the Alexandria database. Energies are from PBE.

CIF file:
```
data_Pm3PuH
_cell_length_a 5.055
_cell_length_b 5.055
_cell_length_c 5.055
_cell_angle_alpha 90.00
_cell_angle_beta 90.00
_cell_angle_gamma 90.00
_space_group_name_H-M_alt 'P 1'
_space_group_IT_number 1
loop_
_space_group_symop_operation_xyz
'x,y,z'
loop_
_atom_site_label
_atom_site_type_symbol
_atom_site_fract_x
_atom_site_fract_y
_atom_site_fract_z
_atom_site_occupancy
Pu1 Pu 0.500 0.500 0.500 1
Pm1 Pm 0.500 0.000 0.000 1
Pm2 Pm 0.000 0.500 0.000 1
Pm3 Pm 0.000 0.000 0.500 1
H1 H 0.000 0.000 0.000 1
```

Output
- Magnetic moment: 1.23 μB per atom
- Space group: Pm-3m (221)
- E_tot: -6.46 eV/atom

The highest E_tot belongs to which entry?
SrMg2As

The highest magnetic moment belongs to which entry?
Pm3PuH

magnetic moment of number 1 (CaGe2Cl)?
0.00 μB per atom

Which formula does entry 2 have?
SrMg2As